[1]
Material: LiPr4Se5
Method: DFT, GGA-PBE
State: relaxed

Structure (POSCAR):
```
LiPr4Se5
1.0
-4.6528 -0.8772 -3.6586
-1.4759 -7.0419 -1.3276
-6.4375 -0.5686 3.4300
Pr Se Li
4 5 1
direct
0.1990 0.2009 0.3992
0.7991 0.7991 0.6008
0.5982 0.6008 0.2009
0.3999 0.3992 0.7991
0.7108 0.1931 0.3832
0.2870 0.8069 0.6168
0.4950 0.0000 0.0000
0.0939 0.6168 0.1931
0.9039 0.3832 0.8069
0.0236 0.0000 0.0000
```

Output
The calculation puts the energy above the most stable polymorph in this dataset at 0.0 kJ/mol of formula units. For the uncorrected formation energy, the calculation gives -1.78 eV/atom. The symmetry is I4. As for the total energy: -56.28 eV per formula unit.

[2]
Material: CaCu3O
Method: DFT, GGA-PBE
State: relaxed

Structure (POSCAR):
```
CaCu3O
1.0
-4.1264 -2.5992 1.0929
2.6871 -3.0382 2.9199
-0.8542 2.9985 3.9060
O Cu Ca
1 3 1
direct
0.5000 0.5000 0.5000
0.5000 0.0000 0.0000
0.0000 0.5000 0.0000
0.0000 0.0000 0.5000
0.0000 0.0000 0.0000
```

Output
The calculation puts the energy above the most stable polymorph in this dataset at 863.0 kJ/mol of formula units. For the uncorrected formation energy, the calculation gives 1.77 eV/atom. The symmetry is Pm-3m. As for the total energy: -10.42 eV per formula unit.

[3]
Material: Sm3Ag8
Method: DFT, GGA-PBE
State: relaxed

Structure (POSCAR):
```
Sm3Ag8
1.0
-2.4831 3.9511 1.1333
-2.1313 -4.3013 0.1516
7.8789 1.8170 10.9281
Ag Sm
8 3
direct
0.4431 0.8863 0.1661
0.7401 0.4801 0.1111
0.1616 0.3232 0.2441
0.8384 0.6768 0.7559
0.6730 0.3460 0.5094
0.2599 0.5199 0.8889
0.5569 0.1137 0.8339
0.3270 0.6540 0.4906
0.9037 0.8074 0.3575
0.0963 0.1926 0.6425
0.0000 0.0000 0.0000
```

Output
As for the energy relative to the elements: -0.205 eV/atom. The symmetry is C2/m. As for the total energy: -39.22 eV per formula unit.

[4]
Material: Si3Hg5
Method: DFT, GGA-PBE
State: relaxed

Structure (POSCAR):
```
Si3Hg5
1.0
-6.5987 3.4290 -0.3245
-1.5152 -6.1262 -3.9471
-0.9989 -1.6444 2.9357
Hg Si
5 3
direct
0.2439 0.2439 0.5000
0.7561 0.7561 0.5000
0.0000 0.5000 0.0000
0.5000 0.0000 0.0000
0.0000 0.0000 0.0000
0.3483 0.6517 0.5000
0.5000 0.5000 0.0000
0.6517 0.3483 0.5000
```

Output
The calculation puts the energy above the most stable polymorph in this dataset at 0.0 kJ/mol of formula units. For the uncorrected formation energy, the calculation gives 0.38 eV/atom. The symmetry is Cmmm. As for the total energy: -14.72 eV per formula unit.

[5]
Material: NaCaPbI5
Method: DFT, GGA-PBE
State: relaxed

Structure (POSCAR):
```
NaCaPbI5
1.0
8.6805 -0.0891 -0.2801
-2.6191 8.2764 -0.2801
-2.8350 -3.8294 10.5899
Ca I Na Pb
2 10 2 2
direct
0.0000 0.0000 0.5000
0.0000 0.0000 0.0000
0.6362 0.6992 0.9544
0.6678 0.0210 0.3319
0.3638 0.3008 0.0456
0.3322 0.9790 0.6681
0.0210 0.6678 0.8319
0.6992 0.6362 0.4544
0.9790 0.3322 0.1681
0.8836 0.1164 0.7500
0.3008 0.3638 0.5456
0.1164 0.8836 0.2500
0.3222 0.6778 0.7500
0.6778 0.3222 0.2500
0.6343 0.3657 0.7500
0.3657 0.6343 0.2500
```

Output
For the uncorrected formation energy, the calculation gives -1.05 eV/atom. The symmetry is C2/c. As for the total energy: -23.16 eV per formula unit.

[6]
Material: TbHfIrO6
Method: DFT, GGA-PBE
State: relaxed

Structure (POSCAR):
```
TbHfIrO6
1.0
5.2941 0.0000 0.0000
-2.6470 4.5848 0.0000
0.0000 0.0000 9.9134
Hf Tb O Ir
2 2 12 2
direct
0.6667 0.3333 0.7500
0.3333 0.6667 0.2500
0.0000 0.0000 0.5000
0.0000 0.0000 0.0000
0.9864 0.6411 0.3617
0.0136 0.6547 0.8617
0.9864 0.3453 0.1383
0.6547 0.0136 0.3617
0.0136 0.3589 0.6383
0.6411 0.9864 0.8617
0.3589 0.0136 0.1383
0.3453 0.9864 0.6383
0.6411 0.6547 0.6383
0.3453 0.3589 0.8617
0.6547 0.6411 0.1383
0.3589 0.3453 0.3617
0.3333 0.6667 0.7500
0.6667 0.3333 0.2500
```

Output
For the uncorrected formation energy, the calculation gives -2.38 eV/atom. The symmetry is P-31c. As for the total energy: -74.62 eV per formula unit.

[7]
Material: Li2AcBiF8
Method: DFT, GGA-PBE
State: relaxed

Structure (POSCAR):
```
Li2AcBiF8
1.0
4.7740 -0.5126 -0.0588
1.7475 4.4722 -0.0588
0.2443 0.1484 8.2246
F Bi Ac Li
8 1 1 2
direct
0.2293 0.7870 0.7615
0.6894 0.6894 0.4542
0.7062 0.7062 0.0265
0.7707 0.2130 0.2385
0.3106 0.3106 0.5458
0.2938 0.2938 0.9735
0.7870 0.2293 0.7615
0.2130 0.7707 0.2385
0.0000 0.0000 0.0000
0.0000 0.0000 0.5000
0.6045 0.6045 0.2355
0.3955 0.3955 0.7645
```

Output
For the uncorrected formation energy, the calculation gives -3.12 eV/atom. The symmetry is C2/m. As for the total energy: -64.19 eV per formula unit.

[8]
Material: Mn2GeN
Method: DFT, GGA-PBE
State: relaxed

Structure (POSCAR):
```
Mn2GeN
1.0
-0.7896 -0.1009 2.6256
3.0097 -2.3118 0.8163
3.1939 4.0504 -0.3048
N Ge Mn
1 1 2
direct
0.0337 0.0000 0.0945
0.8001 0.5000 0.6198
0.4028 0.0000 0.8286
0.6512 0.0000 0.3328
```

Output
For the uncorrected formation energy, the calculation gives -0.07 eV/atom. The symmetry is Pm. As for the total energy: -31.57 eV per formula unit.

[9]
Material: AcPm6Sm2Dy
Method: DFT, GGA-PBE
State: relaxed

Structure (POSCAR):
```
AcPm6Sm2Dy
1.0
-1.5238 9.0752 3.3062
-7.6858 -0.0468 -4.8516
-0.1799 -3.5946 8.3461
Sm Pm Ac Dy
4 12 2 2
direct
0.0461 0.3146 0.2003
0.9539 0.6854 0.7997
0.5461 0.2003 0.3146
0.4539 0.7997 0.6854
0.8135 0.4384 0.9850
0.1174 0.7104 0.4966
0.3826 0.5034 0.2896
0.6174 0.4966 0.7104
0.1865 0.5616 0.0150
0.0552 0.1291 0.7499
0.8826 0.2896 0.5034
0.6865 0.0150 0.5616
0.9448 0.8709 0.2501
0.3135 0.9850 0.4384
0.4448 0.2501 0.8709
0.5552 0.7499 0.1291
0.2500 0.9755 0.0245
0.7500 0.0245 0.9755
0.2500 0.4111 0.5889
0.7500 0.5889 0.4111
```

Output
As for the energy relative to the elements: 0.119 eV/atom. The symmetry is C2/c. As for the total energy: -45.46 eV per formula unit.

[10]
Material: CaMnNi
Method: DFT, GGA-PBE
State: relaxed

Structure (POSCAR):
```
CaMnNi
1.0
-4.5534 -0.2783 0.3759
-2.3438 -2.8922 -2.6634
-1.9224 -3.7363 1.8157
Ni Mn Ca
1 1 1
direct
0.5000 0.5000 0.5000
0.0000 0.0000 0.0000
0.2500 0.2500 0.2500
```

Output
As for the energy relative to the elements: 1.049 eV/atom. The symmetry is F-43m. As for the total energy: -13.81 eV per formula unit.

[11]
Material: ZrCdSbI2
Method: DFT, GGA-PBE
State: relaxed

Structure (POSCAR):
```
ZrCdSbI2
1.0
6.1275 0.0000 0.0000
0.0000 5.7114 0.0000
0.0000 0.0000 6.1275
Zr I Sb Cd
1 2 1 1
direct
0.0000 0.5000 0.0000
0.0000 0.0000 0.5000
0.5000 0.0000 0.0000
0.0000 0.0000 0.0000
0.5000 0.5000 0.5000
```

Output
The calculation puts the energy above the most stable polymorph in this dataset at 306.0 kJ/mol of formula units. For the uncorrected formation energy, the calculation gives 0.52 eV/atom. The symmetry is P4/mmm. As for the total energy: -14.07 eV per formula unit.